## Li2Ca2Tl (SCAN)

Data for Li2Ca2Tl at its PBEsol-relaxed geometry.

abc: 7.6092 7.6092 4.4963
angles: 90.00 90.00 90.00
Atoms (fractional coordinates):
1 Li 0.1250 0.3750 0.0000
2 Li 0.3750 0.8750 0.0000
3 Li 0.6250 0.1250 0.0000
4 Li 0.8750 0.6250 0.0000
5 Ca 0.1893 0.6893 0.5000
6 Ca 0.3107 0.1893 0.5000
7 Ca 0.6893 0.8107 0.5000
8 Ca 0.8107 0.3107 0.5000
9 Tl 0.0000 0.0000 0.0000
10 Tl 0.5000 0.5000 0.0000

Magnetic moment in μB per cell: 0.00
Fermi-level density of states in states/eV/atom: 0.563
Space-group type: P4/mbm (127)
Energy in eV/atom: -19.508
Formation energy in eV per atom: -0.215